## P
Computed, not measured: a relaxed BeCdI3 crystal at the PBE-GGA level of DFT.

Output
* space group: Pm-3m, No. 221
* calculated volume: 40.7 A^3/atom

a b c (Å): 5.883 5.883 5.883
angles (deg): 90.00 90.00 90.00
Element x y z (fractional)
Be (0.000, 0.000, 0.000)
Cd (0.500, 0.500, 0.500)
I (0.000, 0.500, 0.500)
I (0.500, 0.000, 0.500)
I (0.500, 0.500, 0.000)

## Q
Computed, not measured: a relaxed BeCdI3 crystal at the PBE-GGA level of DFT.

Output
* space group: Pm-3m, No. 221
* calculated volume: 30.5 A^3/atom

a b c (Å): 5.344 5.344 5.344
angles (deg): 90.00 90.00 90.00
Element x y z (fractional)
Be (0.000, 0.000, 0.000)
Cd (0.500, 0.500, 0.500)
I (0.000, 0.000, 0.500)
I (0.000, 0.500, 0.000)
I (0.500, 0.000, 0.000)

Energy ordering: Q at the bottom, the next structure 43.0 kJ/mol of atoms above.

## P
Computed, not measured: a relaxed BeCdI2N crystal at the PBE-GGA level of DFT.

Output
* space group: P4/mmm, No. 123
* calculated volume: 31.2 A^3/atom

a b c (Å): 6.036 6.036 4.288
angles (deg): 90.00 90.00 90.00
Element x y z (fractional)
Be (0.000, 0.000, 0.000)
Cd (0.500, 0.500, 0.500)
I (0.000, 0.500, 0.500)
I (0.500, 0.000, 0.500)
N (0.500, 0.500, 0.000)

## Q
Computed, not measured: a relaxed BeCdI2N crystal at the PBE-GGA level of DFT.

Output
* space group: P4/mmm, No. 123
* calculated volume: 28.9 A^3/atom

a b c (Å): 6.896 6.896 3.041
angles (deg): 90.00 90.00 90.00
Element x y z (fractional)
Be (0.000, 0.000, 0.000)
Cd (0.500, 0.500, 0.500)
I (0.000, 0.500, 0.000)
I (0.500, 0.000, 0.000)
N (0.000, 0.000, 0.500)

Energy ordering: Q at the bottom, the next structure 89.9 kJ/mol of atoms above.

## P
Computed, not measured: a relaxed BeCdIN2 crystal at the PBE-GGA level of DFT.

Output
* space group: P4/mmm, No. 123
* calculated volume: 26.4 A^3/atom

a b c (Å): 4.158 4.158 7.629
angles (deg): 90.00 90.00 90.00
Element x y z (fractional)
Be (0.000, 0.000, 0.000)
Cd (0.500, 0.500, 0.500)
I (0.500, 0.500, 0.000)
N (0.000, 0.500, 0.500)
N (0.500, 0.000, 0.500)

## Q
Computed, not measured: a relaxed BeCdIN2 crystal at the PBE-GGA level of DFT.

Output
* space group: P4/mmm, No. 123
* calculated volume: 17.6 A^3/atom

a b c (Å): 3.963 3.963 5.592
angles (deg): 90.00 90.00 90.00
Element x y z (fractional)
Be (0.000, 0.000, 0.000)
Cd (0.500, 0.500, 0.500)
I (0.000, 0.000, 0.500)
N (0.000, 0.500, 0.000)
N (0.500, 0.000, 0.000)

Energy ordering: Q at the bottom, the next structure 55.6 kJ/mol of atoms above.

## P
Computed, not measured: a relaxed BeCdI2O crystal at the PBE-GGA level of DFT.

Output
* space group: P4/mmm, No. 123
* calculated volume: 28.3 A^3/atom

a b c (Å): 5.906 5.906 4.060
angles (deg): 90.00 90.00 90.00
Element x y z (fractional)
Be (0.000, 0.000, 0.000)
Cd (0.500, 0.500, 0.500)
I (0.000, 0.500, 0.500)
I (0.500, 0.000, 0.500)
O (0.500, 0.500, 0.000)

## Q
Computed, not measured: a relaxed BeCdI2O crystal at the PBE-GGA level of DFT.

Output
* space group: P4/mmm, No. 123
* calculated volume: 27.5 A^3/atom

a b c (Å): 6.832 6.832 2.947
angles (deg): 90.00 90.00 90.00
Element x y z (fractional)
Be (0.000, 0.000, 0.000)
Cd (0.500, 0.500, 0.500)
I (0.000, 0.500, 0.000)
I (0.500, 0.000, 0.000)
O (0.000, 0.000, 0.500)

Energy ordering: Q at the bottom, the next structure 123.4 kJ/mol of atoms above.

## P
Computed, not measured: a relaxed BeCdSbI2 crystal at the PBE-GGA level of DFT.

Output
* space group: P4/mmm, No. 123
* calculated volume: 39.7 A^3/atom

a b c (Å): 5.879 5.879 5.744
angles (deg): 90.00 90.00 90.00
Element x y z (fractional)
Be (0.000, 0.000, 0.000)
Cd (0.500, 0.500, 0.500)
Sb (0.500, 0.500, 0.000)
I (0.000, 0.500, 0.500)
I (0.500, 0.000, 0.500)

## Q
Computed, not measured: a relaxed BeCdSbI2 crystal at the PBE-GGA level of DFT.

Output
* space group: P4/mmm, No. 123
* calculated volume: 28.9 A^3/atom

a b c (Å): 5.293 5.293 5.162
angles (deg): 90.00 90.00 90.00
Element x y z (fractional)
Be (0.000, 0.000, 0.000)
Cd (0.500, 0.500, 0.500)
Sb (0.000, 0.000, 0.500)
I (0.000, 0.500, 0.000)
I (0.500, 0.000, 0.000)

Energy ordering: Q at the bottom, the next structure 51.6 kJ/mol of atoms above.

## P
Computed, not measured: a relaxed BeCdSb2I crystal at the PBE-GGA level of DFT.

Output
* space group: P4/mmm, No. 123
* calculated volume: 27.4 A^3/atom

a b c (Å): 4.885 4.885 5.743
angles (deg): 90.00 90.00 90.00
Element x y z (fractional)
Be (0.000, 0.000, 0.000)
Cd (0.500, 0.500, 0.500)
Sb (0.000, 0.500, 0.000)
Sb (0.500, 0.000, 0.000)
I (0.000, 0.000, 0.500)

## Q
Computed, not measured: a relaxed BeCdSb2I crystal at the PBE-GGA level of DFT.

Output
* space group: P4/mmm, No. 123
* calculated volume: 36.7 A^3/atom

a b c (Å): 5.567 5.567 5.918
angles (deg): 90.00 90.00 90.00
Element x y z (fractional)
Be (0.000, 0.000, 0.000)
Cd (0.500, 0.500, 0.500)
Sb (0.000, 0.500, 0.500)
Sb (0.500, 0.000, 0.500)
I (0.500, 0.500, 0.000)

Energy ordering: P at the bottom, the next structure 65.4 kJ/mol of atoms above.

## P
Computed, not measured: a relaxed Be2CdIn crystal at the PBE-GGA level of DFT.

Output
* space group: Pm, No. 6
* calculated volume: 16.4 A^3/atom

a b c (Å): 3.844 3.825 4.829
angles (deg): 90.00 112.66 90.00
Element x y z (fractional)
Be (0.000, 0.000, 0.000)
Be (0.128, 0.500, 0.258)
Cd (0.421, 0.500, 0.840)
In (0.706, 0.000, 0.418)

## Q
Computed, not measured: a relaxed Be2CdIn crystal at the PBE-GGA level of DFT.

Output
* space group: P4mm, No. 99
* calculated volume: 17.1 A^3/atom

a b c (Å): 2.849 2.849 8.451
angles (deg): 90.00 90.00 90.00
Element x y z (fractional)
Be (0.000, 0.000, 0.000)
Be (0.500, 0.500, 0.121)
Cd (0.000, 0.000, 0.361)
In (0.500, 0.500, 0.733)

Energy ordering: P at the bottom, the next structure 4.1 kJ/mol of atoms above.

## P
Computed, not measured: a relaxed Be2CdIn crystal at the PBE-GGA level of DFT.

Output
* space group: Cmmm, No. 65
* calculated volume: 17.3 A^3/atom

a b c (Å): 3.268 5.165 8.183
angles (deg): 90.00 90.00 90.00
Element x y z (fractional)
Be (0.000, 0.000, 0.244)
Be (0.000, 0.000, 0.756)
Be (0.500, 0.500, 0.244)
Be (0.500, 0.500, 0.756)
Cd (0.000, 0.500, 0.000)
Cd (0.500, 0.000, 0.000)
In (0.000, 0.500, 0.500)
In (0.500, 0.000, 0.500)

## Q
Computed, not measured: a relaxed Be2CdIn crystal at the PBE-GGA level of DFT.

Output
* space group: Immm, No. 71
* calculated volume: 17.8 A^3/atom

a b c (Å): 2.781 5.991 8.544
angles (deg): 90.00 90.00 90.00
Element x y z (fractional)
Be (0.000, 0.000, 0.249)
Be (0.000, 0.000, 0.751)
Be (0.500, 0.500, 0.251)
Be (0.500, 0.500, 0.749)
Cd (0.000, 0.500, 0.500)
Cd (0.500, 0.000, 0.000)
In (0.000, 0.500, 0.000)
In (0.500, 0.000, 0.500)

## R
Computed, not measured: a relaxed Be2CdIn crystal at the PBE-GGA level of DFT.

Output
* space group: P2/m, No. 10
* calculated volume: 17.7 A^3/atom

a b c (Å): 3.432 4.210 4.890
angles (deg): 90.00 90.08 90.00
Element x y z (fractional)
Be (0.001, 0.000, 0.272)
Be (0.999, 0.000, 0.728)
Cd (0.500, 0.500, 0.500)
In (0.000, 0.500, 0.000)

Energy ordering: R at the bottom, the next structure 7.0 kJ/mol of atoms above.